DFT (PBE-GGA) results for crystalline Tl3Hg2Br8 at its relaxed geometry.

Output
uncorrected formation energy: -0.523 eV per atom
energy above the lowest structure with this stoichiometry: 0.043 eV/atom
volume: 38.9 A^3/atom

Cell lengths 8.2624, 8.2624, 9.7864 Å; angles 65.03, 65.03, 60.00 degrees
With the nearest neighbours (Å) after each atom.
Atoms (fractional coordinates):
Br 0.7448 0.2057 0.3047  1 Hg 2.66
Br 0.2552 0.7943 0.6953  1 Hg 2.66
Br 0.2057 0.7448 0.3047  1 Hg 2.66
Br 0.7943 0.2552 0.6953  1 Hg 2.66
Br 0.2552 0.2552 0.6953  1 Hg 2.66
Br 0.6957 0.6957 0.9130  1 Hg 2.68, 1 Tl 2.94
Br 0.7448 0.7448 0.3047  1 Hg 2.66
Br 0.3043 0.3043 0.0870  1 Hg 2.68, 1 Tl 2.94
Hg 0.5912 0.5912 0.2265  4 Br 2.66-2.68
Hg 0.4088 0.4088 0.7735  4 Br 2.66-2.68
Tl 0.0000 0.0000 0.0000  6 Br 3.41
Tl 0.8102 0.8102 0.5693  4 Br 2.94-3.15
Tl 0.1898 0.1898 0.4307  4 Br 2.94-3.15

=====

DFT (PBE-GGA) results for crystalline Hf4TcBi at its relaxed geometry.

Output
volume: 22.5 A^3/atom
ΔE_f: -0.120 eV/atom

Cell lengths 5.7301, 8.2264, 7.3591 Å; angles 115.20, 101.43, 110.00 degrees
With the nearest neighbours (Å) after each atom.
Atoms (fractional coordinates):
Hf 0.2200 0.2879 0.3524  2 Tc 2.68-2.76
Hf 0.7800 0.7121 0.6476  2 Tc 2.68-2.76
Hf 0.2765 0.6358 0.8249  2 Tc 2.78-2.79, 1 Bi 3.03
Hf 0.7235 0.3642 0.1751  2 Tc 2.78-2.79, 1 Bi 3.03
Hf 0.3676 0.9355 0.6476  2 Tc 2.68-2.76
Hf 0.9516 0.8108 0.1751  2 Tc 2.78-2.79, 1 Bi 3.03
Hf 0.6324 0.0645 0.3524  2 Tc 2.68-2.76
Hf 0.0484 0.1892 0.8249  2 Tc 2.78-2.79, 1 Bi 3.03
Bi 0.3672 0.6172 0.2344  10 Hf 3.03-3.39
Bi 0.6328 0.3828 0.7656  10 Hf 3.03-3.39
Tc 0.7508 0.0008 0.0016  8 Hf 2.68-2.79, 2 Tc 2.87
Tc 0.2492 0.9992 0.9984  8 Hf 2.68-2.79, 2 Tc 2.87

=====

DFT (PBE-GGA) results for crystalline KGa3Tc at its relaxed geometry.

Output
energy above the lowest structure with this stoichiometry: 2.007 eV/atom
volume: 31.6 A^3/atom
ΔE_f: 1.831 eV/atom

Cell lengths 5.4087, 5.4087, 5.4087 Å; angles 90.00, 90.00, 90.00 degrees
With the nearest neighbours (Å) after each atom.
Atoms (fractional coordinates):
Ga 0.0000 0.0000 0.5000  2 K 2.70
Ga 0.5000 0.0000 0.0000  2 K 2.70
Ga 0.0000 0.5000 0.0000  2 K 2.70
K 0.0000 0.0000 0.0000  6 Ga 2.70
Tc 0.5000 0.5000 0.5000  12 Ga 3.82

=====

DFT (PBE-GGA) results for crystalline MgTl8In2 at its relaxed geometry.

Output
energy above the lowest structure with this stoichiometry: 0.000 eV/atom
volume: 29.8 A^3/atom
ΔE_f: 0.043 eV/atom

Cell lengths 4.8193, 4.8193, 14.1159 Å; angles 90.00, 90.00, 90.00 degrees
With the nearest neighbours (Å) after each atom.
Atoms (fractional coordinates):
Tl 0.5000 0.5000 0.3136  4 In 3.41, 8 Tl 3.47-3.57
Tl 0.5000 0.0000 0.1363  2 Mg 3.08, 4 Tl 3.41
Tl 0.5000 0.0000 0.8637  2 Mg 3.08, 4 Tl 3.41
Tl 0.5000 0.0000 0.5000  8 Tl 3.41-3.57, 4 In 3.58
Tl 0.0000 0.5000 0.1363  2 Mg 3.08, 4 Tl 3.41
Tl 0.0000 0.5000 0.8637  2 Mg 3.08, 4 Tl 3.41
Tl 0.5000 0.5000 0.6864  4 In 3.41, 8 Tl 3.47-3.57
Tl 0.0000 0.5000 0.5000  8 Tl 3.41-3.57, 4 In 3.58
Mg 0.0000 0.0000 0.0000  8 Tl 3.08
In 0.0000 0.0000 0.6874  12 Tl 3.41-3.58
In 0.0000 0.0000 0.3126  12 Tl 3.41-3.58

=====

DFT (PBE-GGA) results for crystalline Tb2EuEr at its relaxed geometry.

Output
energy above the lowest structure with this stoichiometry: 0.100 eV/atom
volume: 33.2 A^3/atom
ΔE_f: 0.154 eV/atom

Cell lengths 3.7695, 5.9391, 5.9391 Å; angles 90.00, 90.00, 90.00 degrees
With the nearest neighbours (Å) after each atom.
Atoms (fractional coordinates):
Er 0.5000 0.0000 0.0000  8 Tb 3.52, 2 Er 3.77
Tb 0.0000 0.0000 0.5000  4 Er 3.52, 4 Eu 3.52, 2 Tb 3.77
Tb 0.0000 0.5000 0.0000  4 Er 3.52, 4 Eu 3.52, 2 Tb 3.77
Eu 0.5000 0.5000 0.5000  8 Tb 3.52, 2 Eu 3.77

=====

DFT (PBE-GGA) results for crystalline Mg4ZnGa at its relaxed geometry.

Output
energy above the lowest structure with this stoichiometry: 0.000 eV/atom
volume: 20.1 A^3/atom
ΔE_f: -0.074 eV/atom

Cell lengths 3.1200, 3.1199, 12.3839 Å; angles 90.00, 90.00, 90.00 degrees
With the nearest neighbours (Å) after each atom.
Atoms (fractional coordinates):
Mg 0.5000 0.5000 0.8533  4 Zn 2.86, 4 Mg 3.12
Mg 0.0000 0.0000 0.3355  4 Ga 3.00, 8 Mg 3.12-3.21
Mg 0.5000 0.5000 0.1467  4 Zn 2.86, 4 Mg 3.12
Mg 0.0000 0.0000 0.6645  4 Ga 3.00, 8 Mg 3.12-3.21
Ga 0.5000 0.5000 0.5000  8 Mg 3.00, 4 Ga 3.12
Zn 0.0000 0.0000 0.0000  8 Mg 2.86, 4 Zn 3.12

=====

DFT (PBE-GGA) results for crystalline Tb6Pm3Y2In at its relaxed geometry.

Output
volume: 31.6 A^3/atom
ΔE_f: -0.041 eV/atom

Cell lengths 6.1567, 6.1567, 11.7300 Å; angles 95.04, 95.04, 120.04 degrees
With the nearest neighbours (Å) after each atom.
Atoms (fractional coordinates):
Tb 0.4080 0.0808 0.2446  1 In 3.47, 6 Tb 3.49-3.59, 2 Y 3.50-3.51, 3 Pm 3.58-3.61
Tb 0.9192 0.5920 0.7554  1 In 3.47, 6 Tb 3.49-3.59, 2 Y 3.50-3.51, 3 Pm 3.58-3.61
Tb 0.7537 0.7537 0.2461  1 In 3.49, 6 Tb 3.49-3.59, 2 Y 3.51, 3 Pm 3.57-3.60
Tb 0.5920 0.9192 0.7554  1 In 3.47, 6 Tb 3.49-3.59, 2 Y 3.50-3.51, 3 Pm 3.58-3.61
Tb 0.2463 0.2463 0.7539  1 In 3.49, 6 Tb 3.49-3.59, 2 Y 3.51, 3 Pm 3.57-3.60
Tb 0.0808 0.4080 0.2446  1 In 3.47, 6 Tb 3.49-3.59, 2 Y 3.50-3.51, 3 Pm 3.58-3.61
In 0.0000 0.0000 0.0000  6 Tb 3.47-3.49, 6 Y 3.55-3.56
Pm 0.1676 0.8324 0.5000  6 Pm 3.54-3.58, 6 Tb 3.57-3.61
Pm 0.8324 0.1676 0.5000  6 Pm 3.54-3.58, 6 Tb 3.57-3.61
Pm 0.5000 0.5000 0.5000  6 Pm 3.54-3.56, 6 Tb 3.58-3.60
Y 0.6662 0.3338 0.0000  6 Tb 3.50-3.51, 3 Y 3.55-3.56, 3 In 3.55-3.56
Y 0.3338 0.6662 0.0000  6 Tb 3.50-3.51, 3 Y 3.55-3.56, 3 In 3.55-3.56

=====

DFT (PBE-GGA) results for crystalline PrAlCu at its relaxed geometry.

Output
volume: 21.0 A^3/atom
ΔE_f: -0.363 eV/atom

Cell lengths 7.2661, 7.2661, 4.1407 Å; angles 90.00, 90.00, 120.00 degrees
With the nearest neighbours (Å) after each atom.
Atoms (fractional coordinates):
Al 0.2274 0.0000 0.0000  4 Cu 2.65-2.88, 2 Al 2.86
Al 0.7726 0.7726 0.0000  4 Cu 2.65-2.88, 2 Al 2.86
Al 0.0000 0.2274 0.0000  4 Cu 2.65-2.88, 2 Al 2.86
Pr 0.4170 0.4170 0.5000  5 Cu 3.01-3.03, 6 Al 3.31-3.35
Pr 0.0000 0.5830 0.5000  5 Cu 3.01-3.03, 6 Al 3.31-3.35
Pr 0.5830 0.0000 0.5000  5 Cu 3.01-3.03, 6 Al 3.31-3.35
Cu 0.3333 0.6667 0.0000  3 Al 2.88, 6 Pr 3.01
Cu 0.0000 0.0000 0.5000  6 Al 2.65
Cu 0.6667 0.3333 0.0000  3 Al 2.88, 6 Pr 3.01

=====

DFT (PBE-GGA) results for crystalline PmAgAsPd at its relaxed geometry.

Output
volume: 20.5 A^3/atom
ΔE_f: -0.550 eV/atom

Cell lengths 4.8787, 4.8787, 4.8787 Å; angles 60.00, 60.00, 60.00 degrees
With the nearest neighbours (Å) after each atom.
Atoms (fractional coordinates):
Ag 0.0000 0.0000 0.0000  4 As 2.99, 4 Pd 2.99
Pd 0.7500 0.7500 0.7500  4 Pm 2.99, 4 Ag 2.99
As 0.2500 0.2500 0.2500  4 Pm 2.99, 4 Ag 2.99
Pm 0.5000 0.5000 0.5000  4 Pd 2.99, 4 As 2.99

=====

DFT (PBE-GGA) results for crystalline Ce2PmGa2Ag2 at its relaxed geometry.

Output
volume: 22.8 A^3/atom
ΔE_f: -0.368 eV/atom

Cell lengths 4.5273, 4.5273, 9.3526 Å; angles 75.99, 75.99, 60.00 degrees
With the nearest neighbours (Å) after each atom.
Atoms (fractional coordinates):
Pm 0.0000 0.0000 0.0000  6 Ga 3.27, 6 Ag 3.29
Ag 0.5927 0.5927 0.2218  3 Ga 2.61
Ag 0.4073 0.4073 0.7782  3 Ga 2.61
Ga 0.7394 0.7394 0.7818  3 Ag 2.61
Ga 0.2606 0.2606 0.2182  3 Ag 2.61
Ce 0.8587 0.8587 0.4239  3 Ce 2.95, 3 Ag 3.18, 4 Ga 3.20-3.21
Ce 0.1413 0.1413 0.5761  3 Ce 2.95, 3 Ag 3.18, 4 Ga 3.20-3.21

=====

DFT (PBE-GGA) results for crystalline AcLaTm2As4 at its relaxed geometry.

Output
volume: 27.5 A^3/atom
ΔE_f: -1.481 eV/atom

Cell lengths 4.2702, 7.3808, 7.3936 Å; angles 70.52, 90.00, 90.00 degrees
With the nearest neighbours (Å) after each atom.
Atoms (fractional coordinates):
Tm 0.5000 0.0000 0.5000  6 As 2.91
Tm 0.0000 0.0000 0.0000  6 As 2.95
As 0.0000 0.2263 0.2622  3 Tm 2.91-2.95, 1 La 3.09, 2 Ac 3.13
As 0.5000 0.7701 0.2476  3 Tm 2.91-2.95, 2 La 3.09, 1 Ac 3.12
As 0.5000 0.2299 0.7524  3 Tm 2.91-2.95, 2 La 3.09, 1 Ac 3.12
As 0.0000 0.7737 0.7378  3 Tm 2.91-2.95, 1 La 3.09, 2 Ac 3.13
Ac 0.5000 0.5000 0.0000  6 As 3.12-3.13
La 0.0000 0.5000 0.5000  6 As 3.09

=====

DFT (PBE-GGA) results for crystalline AcGd3 at its relaxed geometry.

Output
volume: 35.5 A^3/atom
ΔE_f: 0.103 eV/atom

Cell lengths 5.8573, 5.8573, 5.8573 Å; angles 60.00, 60.00, 60.00 degrees
With the nearest neighbours (Å) after each atom.
Atoms (fractional coordinates):
Gd 0.2500 0.2500 0.2500  4 Gd 3.59, 4 Ac 3.59
Gd 0.7500 0.7500 0.7500  4 Gd 3.59, 4 Ac 3.59
Gd 0.0000 0.0000 0.0000  8 Gd 3.59
Ac 0.5000 0.5000 0.5000  8 Gd 3.59

=====

DFT (PBE-GGA) results for crystalline Rh3Br at its relaxed geometry.

Output
uncorrected formation energy: 0.557 eV per atom
energy above the lowest structure with this stoichiometry: 0.077 eV/atom
volume: 15.7 A^3/atom

Cell lengths 4.1907, 2.9521, 5.3358 Å; angles 72.25, 90.00, 90.00 degrees
With the nearest neighbours (Å) after each atom.
Atoms (fractional coordinates):
Rh 0.5000 0.8830 0.7536  2 Br 2.55, 3 Rh 2.58-2.83
Rh 0.5000 0.1170 0.2464  2 Br 2.55, 3 Rh 2.58-2.83
Rh 0.0000 0.5000 0.5000  2 Br 2.63, 8 Rh 2.83-2.90
Br 0.0000 0.0000 0.0000  6 Rh 2.55-2.63

=====

DFT (PBE-GGA) results for crystalline Rb3NCl at its relaxed geometry.

Output
uncorrected formation energy: -0.297 eV per atom
energy above the lowest structure with this stoichiometry: 0.000 eV/atom
volume: 36.3 A^3/atom

Cell lengths 5.6637, 5.6637, 5.6637 Å; angles 90.00, 90.00, 90.00 degrees
With the nearest neighbours (Å) after each atom.
Atoms (fractional coordinates):
Rb 0.0000 0.5000 0.0000  2 N 2.83
Rb 0.5000 0.0000 0.0000  2 N 2.83
Rb 0.0000 0.0000 0.5000  2 N 2.83
N 0.0000 0.0000 0.0000  6 Rb 2.83
Cl 0.5000 0.5000 0.5000  12 Rb 4.00

=====

DFT (PBE-GGA) results for crystalline CuRhAu2 at its relaxed geometry.

Output
energy above the lowest structure with this stoichiometry: 0.078 eV/atom
volume: 15.9 A^3/atom
ΔE_f: 0.141 eV/atom

Cell lengths 4.8211, 4.8211, 4.9597 Å; angles 79.71, 79.71, 34.05 degrees
With the nearest neighbours (Å) after each atom.
Atoms (fractional coordinates):
Rh 0.2500 0.2500 0.2500  6 Au 2.80-2.81, 2 Rh 2.82, 4 Cu 2.85
Au 0.4974 0.4974 0.5040  3 Cu 2.76-2.82, 3 Rh 2.80-2.81, 6 Au 2.82-2.88
Au 0.0026 0.0026 0.9960  3 Cu 2.76-2.82, 3 Rh 2.80-2.81, 6 Au 2.82-2.88
Cu 0.7500 0.7500 0.7500  6 Au 2.76-2.82, 2 Cu 2.82, 4 Rh 2.85

=====

DFT (PBE-GGA) results for crystalline Li4Er3GeTe8 at its relaxed geometry.

Output
uncorrected formation energy: -1.033 eV per atom
volume: 27.8 A^3/atom

Cell lengths 8.5923, 8.5482, 8.5921 Å; angles 120.19, 120.00, 90.00 degrees
With the nearest neighbours (Å) after each atom.
Atoms (fractional coordinates):
Te 0.2430 0.2494 0.9961  1 Ge 2.99, 3 Li 3.01-3.07, 2 Er 3.05
Te 0.7522 0.7565 0.5045  3 Li 3.00, 3 Er 3.06
Te 0.2469 0.7507 0.4939  1 Ge 2.99, 3 Li 3.01-3.07, 2 Er 3.05
Te 0.7531 0.2494 0.9961  1 Ge 2.99, 3 Li 3.01-3.07, 2 Er 3.05
Te 0.2478 0.2435 0.4955  3 Li 3.00, 3 Er 3.06
Te 0.7531 0.2493 0.5061  1 Ge 2.99, 3 Li 3.01-3.07, 2 Er 3.05
Te 0.7570 0.7506 0.0039  1 Ge 2.99, 3 Li 3.01-3.07, 2 Er 3.05
Te 0.2469 0.7506 0.0039  1 Ge 2.99, 3 Li 3.01-3.07, 2 Er 3.05
Li 0.0000 0.0000 0.0000  6 Te 3.00-3.01
Li 0.5000 0.0000 0.0000  6 Te 3.07
Li 0.5000 0.0000 0.5000  6 Te 3.00-3.01
Li 0.0000 0.0000 0.5000  6 Te 3.00-3.01
Er 0.5000 0.5000 0.0000  6 Te 3.05-3.06
Er 0.0000 0.5000 0.5000  6 Te 3.05-3.06
Er 0.5000 0.5000 0.5000  6 Te 3.05-3.06
Ge 0.0000 0.5000 0.0000  6 Te 2.99

=====

DFT (PBE-GGA) results for crystalline TaCd3Sb at its relaxed geometry.

Output
uncorrected formation energy: 1.430 eV per atom
energy above the lowest structure with this stoichiometry: 0.297 eV/atom
volume: 32.7 A^3/atom

Cell lengths 5.4684, 5.4684, 5.4684 Å; angles 90.00, 90.00, 90.00 degrees
With the nearest neighbours (Å) after each atom.
Atoms (fractional coordinates):
Cd 0.0000 0.0000 0.5000  2 Sb 2.73
Cd 0.0000 0.5000 0.0000  2 Sb 2.73
Cd 0.5000 0.0000 0.0000  2 Sb 2.73
Sb 0.0000 0.0000 0.0000  6 Cd 2.73
Ta 0.5000 0.5000 0.5000  12 Cd 3.87

=====

DFT (PBE-GGA) results for crystalline PmHo2Ag at its relaxed geometry.

Output
energy above the lowest structure with this stoichiometry: 0.131 eV/atom
volume: 29.3 A^3/atom
ΔE_f: -0.004 eV/atom

Cell lengths 3.6082, 3.6082, 10.5879 Å; angles 80.19, 80.19, 60.00 degrees
With the nearest neighbours (Å) after each atom.
Atoms (fractional coordinates):
Ag 0.6666 0.6666 0.0003  6 Ho 3.07-3.08
Pm 0.4999 0.4999 0.4998  6 Ho 3.59, 6 Pm 3.61
Ho 0.0727 0.0727 0.7819  3 Ag 3.08
Ho 0.2608 0.2608 0.2180  3 Ag 3.07

=====

DFT (PBE-GGA) results for crystalline Li2MgGe at its relaxed geometry.

Output
volume: 17.5 A^3/atom
ΔE_f: -0.190 eV/atom

Cell lengths 3.3930, 3.3930, 6.0801 Å; angles 90.00, 90.00, 90.00 degrees
With the nearest neighbours (Å) after each atom.
Atoms (fractional coordinates):
Li 0.0000 0.0000 0.7186  1 Li 2.66, 4 Ge 2.74, 4 Mg 2.95
Li 0.0000 0.0000 0.2814  1 Li 2.66, 4 Ge 2.74, 4 Mg 2.95
Mg 0.5000 0.5000 0.0000  8 Li 2.95, 2 Ge 3.04
Ge 0.5000 0.5000 0.5000  8 Li 2.74, 2 Mg 3.04

=====

DFT (PBE-GGA) results for crystalline Nd3Tm4Al at its relaxed geometry.

Output
volume: 30.2 A^3/atom
ΔE_f: -0.087 eV/atom

Cell lengths 3.5598, 3.5598, 19.0447 Å; angles 90.00, 90.00, 90.00 degrees
With the nearest neighbours (Å) after each atom.
Atoms (fractional coordinates):
Tm 0.0000 0.0000 0.9033  4 Al 3.12
Tm 0.0000 0.0000 0.0967  4 Al 3.12
Tm 0.0000 0.0000 0.6334  4 Tm 3.56, 8 Nd 3.58-3.60
Tm 0.0000 0.0000 0.3666  4 Tm 3.56, 8 Nd 3.58-3.60
Nd 0.5000 0.5000 0.5000  4 Nd 3.56, 8 Tm 3.58
Nd 0.5000 0.5000 0.2317  4 Nd 3.56, 8 Tm 3.60
Nd 0.5000 0.5000 0.7683  4 Nd 3.56, 8 Tm 3.60
Al 0.5000 0.5000 0.0000  8 Tm 3.12

=====

no.,density (g/cm³)
1,5.435
2,12.569
3,3.634
4,9.568
5,7.956
6,3.201
7,7.367
8,6.090
9,8.781
10,8.130
11,7.585
12,8.166
13,10.265
14,2.796
15,14.675
16,6.057
17,6.498
18,8.268
19,2.629
20,7.812